Density functional theory data (GGA-PBE) for a geometry-optimized ZrSiSbF2 structure.

The crystal system is tetragonal. As for the space group: No. 123. The density of states at the Fermi level comes out at 0.471 states/eV per atom. The value obtained for the formation energy without anion corrections is -7.84 eV/f.u.

```
5
Lattice="-3.257 -1.774 1.846 2.859 -4.889 0.347 1.483 1.129 3.700" Properties=species:S:1:pos:R:3 pbc="T T T"
Sb 0.542 -2.766 2.947
Si 1.429 -2.444 0.173
Zr 0.000 0.000 0.000
F 0.741 0.565 1.850
F -1.629 -0.887 0.923
```